{"formula": "Ba2Zn2Ag", "functional": "PBE", "state": "relaxed", "total_magnetization_mub_per_fu": 0.00, "spacegroup": "I4/mmm (139)", "ef_ev_per_atom": -0.07, "cell": [[-3.5687, -0.1517, -1.9618], [0.6076, -3.9495, -0.7998], [-5.9562, -4.4250, 6.9444]], "species": ["Zn", "Zn", "Ba", "Ba", "Ag"], "frac_coords": [[0.7500, 0.2500, 0.5000], [0.2500, 0.7500, 0.5000], [0.3945, 0.3945, 0.2110], [0.6055, 0.6055, 0.7890], [0.0000, 0.0000, 0.0000]]}